! NpCoSi2Ru, optimized geometry, DFT PBE-GGA; values from VASP
&SYSTEM
  ibrav = 0, nat = 5, ntyp = 4
/
ATOMIC_SPECIES
Np 237.00 Np.upf
Co 58.93 Co.upf
Si 28.09 Si.upf
Ru 101.07 Ru.upf
ATOMIC_POSITIONS crystal
Np 0.000 0.000 0.000
Co 0.750 0.250 0.500
Si 0.625 0.625 0.250
Si 0.375 0.375 0.750
Ru 0.250 0.750 0.500
CELL_PARAMETERS angstrom
3.990 0.000 0.000
0.000 3.990 0.000
-1.995 -1.995 4.921
! Formation energy from raw total energies = -2.69 eV/f.u.



VASP calculation (PBE-GGA) on a geometry-optimized NpCoSnRu structure. Values from VASP.

Geometry as Quantum ESPRESSO input:
```
&SYSTEM
  ibrav = 0, nat = 4, ntyp = 4
/
ATOMIC_SPECIES
Np 237.00 Np.upf
Ru 101.07 Ru.upf
Co 58.93 Co.upf
Sn 118.71 Sn.upf
ATOMIC_POSITIONS crystal
Np 0.000 0.000 0.000
Ru 0.750 0.750 0.750
Co 0.250 0.250 0.250
Sn 0.500 0.500 0.500
CELL_PARAMETERS angstrom
-4.540 0.651 0.661
-1.792 -0.332 4.260
-1.501 3.800 2.185
```



VASP calculation (PBE-GGA) on a geometry-optimized NpZnCoRu structure. Values from VASP.

Geometry as Quantum ESPRESSO input:
```
&SYSTEM
  ibrav = 0, nat = 4, ntyp = 4
/
ATOMIC_SPECIES
Np 237.00 Np.upf
Ru 101.07 Ru.upf
Zn 65.41 Zn.upf
Co 58.93 Co.upf
ATOMIC_POSITIONS crystal
Np 0.250 0.250 0.250
Ru 0.500 0.500 0.500
Zn 0.750 0.750 0.750
Co 0.000 0.000 0.000
CELL_PARAMETERS angstrom
-4.226 0.121 -1.408
-3.023 -2.743 1.786
-3.188 1.624 2.656
```



! NpCoS4, optimized geometry, DFT PBE-GGA; values from VASP
&SYSTEM
  ibrav = 0, nat = 12, ntyp = 3
/
ATOMIC_SPECIES
Np 237.00 Np.upf
Co 58.93 Co.upf
S 32.06 S.upf
ATOMIC_POSITIONS crystal
Np 0.000 0.000 0.000
Np 0.500 0.500 0.000
Co 0.500 0.000 0.500
Co 0.000 0.500 0.500
S 0.890 0.663 0.199
S 0.610 0.163 0.801
S 0.264 0.292 0.329
S 0.236 0.792 0.671
S 0.110 0.337 0.801
S 0.390 0.837 0.199
S 0.736 0.708 0.671
S 0.764 0.208 0.329
CELL_PARAMETERS angstrom
-3.228 -4.953 0.162
4.136 -2.581 3.513
-2.402 2.978 5.016
! Formation energy from raw total energies = -3.61 eV/f.u.



! NpCoS, optimized geometry, DFT PBE-GGA; values from VASP
&SYSTEM
  ibrav = 0, nat = 6, ntyp = 3
/
ATOMIC_SPECIES
Np 237.00 Np.upf
Co 58.93 Co.upf
S 32.06 S.upf
ATOMIC_POSITIONS crystal
Np 0.243 0.243 0.272
Np 0.757 0.757 0.728
Co 0.340 0.340 0.979
Co 0.660 0.660 0.021
S 0.876 0.876 0.373
S 0.124 0.124 0.627
CELL_PARAMETERS angstrom
4.356 0.000 0.000
2.178 3.773 0.000
2.178 1.258 7.829
! Formation energy from raw total energies = -0.91 eV/f.u.



! Np3Co5S12, optimized geometry, DFT PBE-GGA; values from VASP
&SYSTEM
  ibrav = 0, nat = 80, ntyp = 3
/
ATOMIC_SPECIES
Np 237.00 Np.upf
Co 58.93 Co.upf
S 32.06 S.upf
ATOMIC_POSITIONS crystal
Np 0.750 0.375 0.125
Np 0.875 0.750 0.125
Np 0.375 0.750 0.625
Np 0.250 0.125 0.375
Np 0.875 0.125 0.250
Np 0.375 0.625 0.250
Np 0.625 0.375 0.750
Np 0.125 0.875 0.750
Np 0.750 0.875 0.625
Np 0.625 0.250 0.375
Np 0.125 0.250 0.875
Np 0.250 0.625 0.875
Co 0.125 0.375 0.250
Co 0.000 0.500 0.000
Co 0.000 0.000 0.000
Co 0.375 0.250 0.125
Co 0.500 0.000 0.500
Co 0.500 0.500 0.000
Co 0.125 0.750 0.375
Co 0.750 0.125 0.875
Co 0.750 0.625 0.375
Co 0.375 0.125 0.750
Co 0.625 0.875 0.250
Co 0.500 0.500 0.500
Co 0.500 0.000 0.000
Co 0.000 0.000 0.500
Co 0.250 0.375 0.625
Co 0.250 0.875 0.125
Co 0.000 0.500 0.500
Co 0.875 0.250 0.625
Co 0.625 0.750 0.875
Co 0.875 0.625 0.750
S 0.704 0.116 0.027
S 0.323 0.527 0.412
S 0.973 0.384 0.296
S 0.527 0.204 0.116
S 0.588 0.704 0.677
S 0.973 0.588 0.177
S 0.323 0.796 0.412
S 0.088 0.912 0.116
S 0.588 0.973 0.677
S 0.704 0.588 0.177
S 0.796 0.473 0.384
S 0.823 0.912 0.027
S 0.116 0.704 0.527
S 0.384 0.412 0.088
S 0.088 0.912 0.384
S 0.412 0.116 0.588
S 0.088 0.177 0.204
S 0.473 0.677 0.088
S 0.823 0.912 0.296
S 0.116 0.412 0.088
S 0.384 0.973 0.796
S 0.588 0.616 0.412
S 0.912 0.823 0.527
S 0.796 0.323 0.912
S 0.412 0.384 0.588
S 0.088 0.177 0.473
S 0.204 0.677 0.088
S 0.177 0.088 0.704
S 0.616 0.027 0.204
S 0.884 0.588 0.912
S 0.527 0.323 0.912
S 0.588 0.884 0.412
S 0.912 0.823 0.796
S 0.912 0.088 0.616
S 0.884 0.296 0.473
S 0.177 0.088 0.973
S 0.616 0.588 0.912
S 0.412 0.027 0.323
S 0.296 0.412 0.823
S 0.204 0.527 0.616
S 0.912 0.088 0.884
S 0.677 0.204 0.588
S 0.473 0.796 0.884
S 0.027 0.412 0.823
S 0.412 0.296 0.323
S 0.027 0.616 0.704
S 0.677 0.473 0.588
S 0.296 0.884 0.973
CELL_PARAMETERS angstrom
-3.291 -9.231 7.443
3.790 -4.573 -10.777
9.147 6.390 5.188
! Formation energy from raw total energies = -14.38 eV/f.u.



! NpCoS3, optimized geometry, DFT PBE-GGA; values from VASP
&SYSTEM
  ibrav = 0, nat = 20, ntyp = 3
/
ATOMIC_SPECIES
Np 237.00 Np.upf
Co 58.93 Co.upf
S 32.06 S.upf
ATOMIC_POSITIONS crystal
Np 0.250 0.886 0.327
Np 0.750 0.114 0.673
Np 0.750 0.614 0.827
Np 0.250 0.386 0.173
Co 0.250 0.670 0.551
Co 0.750 0.330 0.449
Co 0.750 0.830 0.051
Co 0.250 0.170 0.949
S 0.750 0.175 0.291
S 0.250 0.656 0.998
S 0.250 0.003 0.102
S 0.250 0.503 0.398
S 0.250 0.156 0.502
S 0.750 0.497 0.602
S 0.250 0.325 0.791
S 0.750 0.997 0.898
S 0.750 0.344 0.002
S 0.750 0.675 0.209
S 0.750 0.844 0.498
S 0.250 0.825 0.709
CELL_PARAMETERS angstrom
3.623 0.000 0.000
0.000 7.423 0.000
0.000 0.000 12.413
! Formation energy from raw total energies = -4.49 eV/f.u.



! Np2TiCoS5, optimized geometry, DFT PBE-GGA; values from VASP
&SYSTEM
  ibrav = 0, nat = 18, ntyp = 4
/
ATOMIC_SPECIES
Np 237.00 Np.upf
Ti 47.87 Ti.upf
Co 58.93 Co.upf
S 32.06 S.upf
ATOMIC_POSITIONS crystal
Np 0.890 0.781 0.843
Np 0.126 0.253 0.699
Np 0.110 0.219 0.343
Np 0.874 0.747 0.199
Ti 0.825 0.650 0.518
Ti 0.175 0.350 0.018
Co 0.563 0.125 0.926
Co 0.437 0.875 0.426
S 0.338 0.676 0.019
S 0.695 0.389 0.867
S 0.503 0.006 0.753
S 0.308 0.617 0.676
S 0.979 0.959 0.522
S 0.662 0.324 0.519
S 0.305 0.611 0.367
S 0.497 0.994 0.253
S 0.692 0.383 0.176
S 0.021 0.041 0.022
CELL_PARAMETERS angstrom
3.628 0.000 0.000
-1.814 7.844 0.000
0.000 0.000 11.245
! Formation energy from raw total energies = -11.24 eV/f.u.



! NpTlCoS3, optimized geometry, DFT PBE-GGA; values from VASP
&SYSTEM
  ibrav = 0, nat = 12, ntyp = 4
/
ATOMIC_SPECIES
Np 237.00 Np.upf
Tl 204.38 Tl.upf
Co 58.93 Co.upf
S 32.06 S.upf
ATOMIC_POSITIONS crystal
Np 0.250 0.679 0.161
Np 0.750 0.321 0.839
Tl 0.250 0.196 0.230
Tl 0.750 0.804 0.770
Co 0.250 0.082 0.584
Co 0.750 0.918 0.416
S 0.750 0.879 0.152
S 0.250 0.121 0.848
S 0.250 0.820 0.472
S 0.750 0.180 0.528
S 0.750 0.464 0.157
S 0.250 0.536 0.843
CELL_PARAMETERS angstrom
3.879 0.000 0.000
0.000 8.885 -0.309
0.000 -2.646 8.610
! Formation energy from raw total energies = -4.97 eV/f.u.



! Np3Tl4CoS8, optimized geometry, DFT PBE-GGA; values from VASP
&SYSTEM
  ibrav = 0, nat = 16, ntyp = 4
/
ATOMIC_SPECIES
Np 237.00 Np.upf
Tl 204.38 Tl.upf
Co 58.93 Co.upf
S 32.06 S.upf
ATOMIC_POSITIONS crystal
Np 0.500 0.500 0.000
Np 0.500 0.500 0.500
Np 0.000 0.500 0.500
Tl 0.500 0.000 0.000
Tl 0.500 0.000 0.500
Tl 0.000 0.000 0.000
Tl 0.000 0.000 0.500
Co 0.000 0.500 0.000
S 0.222 0.687 0.965
S 0.222 0.687 0.445
S 0.267 0.301 0.534
S 0.743 0.687 0.965
S 0.257 0.313 0.035
S 0.733 0.699 0.466
S 0.778 0.313 0.555
S 0.778 0.313 0.035
CELL_PARAMETERS angstrom
7.817 0.000 0.000
0.000 8.779 0.661
-3.909 -3.901 5.536
! Formation energy from raw total energies = -12.82 eV/f.u.



! NpTl3Co2S6, optimized geometry, DFT PBE-GGA; values from VASP
&SYSTEM
  ibrav = 0, nat = 12, ntyp = 4
/
ATOMIC_SPECIES
Np 237.00 Np.upf
Tl 204.38 Tl.upf
Co 58.93 Co.upf
S 32.06 S.upf
ATOMIC_POSITIONS crystal
Np 0.000 0.000 0.000
Tl 0.167 0.833 0.500
Tl 0.833 0.167 0.500
Tl 0.500 0.500 0.500
Co 0.333 0.667 0.000
Co 0.667 0.333 0.000
S 0.938 0.560 0.837
S 0.685 0.685 0.163
S 0.062 0.440 0.163
S 0.560 0.938 0.837
S 0.315 0.315 0.837
S 0.440 0.062 0.163
CELL_PARAMETERS angstrom
-0.234 1.513 5.764
2.964 -4.893 -1.685
5.803 5.741 -2.446
! Formation energy from raw total energies = -6.72 eV/f.u.



! NpTlCoS4, optimized geometry, DFT PBE-GGA; values from VASP
&SYSTEM
  ibrav = 0, nat = 14, ntyp = 4
/
ATOMIC_SPECIES
Np 237.00 Np.upf
Tl 204.38 Tl.upf
Co 58.93 Co.upf
S 32.06 S.upf
ATOMIC_POSITIONS crystal
Np 0.740 0.750 0.450
Np 0.260 0.250 0.550
Tl 0.734 0.750 0.953
Tl 0.266 0.250 0.047
Co 0.236 0.750 0.341
Co 0.764 0.250 0.659
S 0.017 0.513 0.702
S 0.983 0.013 0.298
S 0.983 0.487 0.298
S 0.017 0.987 0.702
S 0.443 0.750 0.183
S 0.557 0.250 0.817
S 0.422 0.750 0.583
S 0.578 0.250 0.417
CELL_PARAMETERS angstrom
6.571 0.000 0.042
0.000 5.547 0.000
-2.519 0.000 8.605
! Formation energy from raw total energies = -4.92 eV/f.u.



Calculated values (eV per cell) of energy for the records, taken in order: -42.86; -33.57; -30.76; -80.33; -50.17; -553.02; -147.68; -145.51; -79.53; -101.24; -65.74; -87.69.
Calculated values (μB/cell) of magnetization for the records, taken in order: 3.67; 2.30; 2.60; 4.16; 5.24; 16.02; 16.03; 13.89; 3.90; 12.34; 2.53; 0.44.